The following is a PBE-GGA calculation of a relaxed AsPRhAuS crystal, from Alexandria.

Output
Energy above the most stable polymorph in this dataset = 0.089 eV per atom
Total magnetization = 0.0 μB per formula unit
Crystal system = triclinic
Formation energy (no corrections) = -48 meV/atom
Total DFT energy (no corrections) = -25.05 eV for the cell shown

Cell: 3.9177 4.4801 5.6986 Å, 78.15 70.97 86.25°
Closest atoms and distances in Å follow each position.
Element x y z (fractional)
1 As 0.0000 0.0000 0.0000  2 Rh 2.44-2.59, 2 Au 2.55-2.69
2 P 0.5440 0.5099 0.2241  1 S 2.15, 1 Rh 2.33
3 Rh 0.3372 0.9949 0.2933  2 P 2.33-2.41, 2 As 2.44-2.59, 1 S 2.47
4 Au 0.9852 0.5824 0.7589  2 As 2.55-2.69, 1 P 2.62, 1 S 2.73
5 S 0.7599 0.2335 0.4973  1 P 2.15